*i*
Material: BaTcH3
Method: DFT, PBE-GGA
State: optimized geometry

For the density of states at the Fermi level, the calculation gives 0.2 states/eV per cell.

The space group is Pm-3m (No. 221) and the conventional cell measures 3.9334, 3.9334 and 3.9334 Å, with angles of 90.00, 90.00 and 90.00 degrees. The inequivalent atoms are Ba at (0.0000, 0.0000, 0.0000), Tc at (0.5000, 0.5000, 0.5000) and H at (0.0000, 0.5000, 0.5000).

***

*ii*
Material: BaTcH3
Method: DFT, PBE-GGA
State: optimized geometry

For the density of states at the Fermi level, the calculation gives 4.4 states/eV per cell.

The space group is Pm-3m (No. 221) and the conventional cell measures 4.7972, 4.7972 and 4.7972 Å, with angles of 90.00, 90.00 and 90.00 degrees. The inequivalent atoms are Ba at (0.0000, 0.0000, 0.0000), Tc at (0.5000, 0.5000, 0.5000) and H at (0.0000, 0.0000, 0.5000).

***

The calculated energies rank the structures as follows, beginning with the most stable: *i*, *ii*.

***

*i*
Material: BaTcH2
Method: DFT, PBE-GGA
State: optimized geometry

For the density of states at the Fermi level, the calculation gives 15.6 states/eV per cell.

The space group is Fm-3m (No. 225) and the conventional cell measures 6.5303, 6.5303 and 6.5303 Å, with angles of 90.00, 90.00 and 90.00 degrees. The inequivalent atoms are Ba at (0.0000, 0.0000, 0.0000), Tc at (0.0000, 0.0000, 0.5000) and H at (0.2500, 0.2500, 0.2500).

***

*ii*
Material: BaTcH2
Method: DFT, PBE-GGA
State: optimized geometry

For the density of states at the Fermi level, the calculation gives 12.7 states/eV per cell.

The space group is I-42d (No. 122) and the conventional cell measures 5.6586, 5.6586 and 7.5113 Å, with angles of 90.00, 90.00 and 90.00 degrees. The inequivalent atoms are Ba at (0.0000, 0.0000, 0.0000), Tc at (0.0000, 0.0000, 0.5000) and H at (0.1213, 0.2500, 0.6250).

***

The calculated energies rank the structures as follows, beginning with the most stable: *ii*, *i*.

***

*i*
Material: Ba2TcH
Method: DFT, PBE-GGA
State: optimized geometry

For the density of states at the Fermi level, the calculation gives 34.6 states/eV per cell.

The space group is Fm-3m (No. 225) and the conventional cell measures 7.6705, 7.6705 and 7.6705 Å, with angles of 90.00, 90.00 and 90.00 degrees. The inequivalent atoms are Ba at (0.2500, 0.2500, 0.2500), Tc at (0.0000, 0.0000, 0.0000) and H at (0.0000, 0.0000, 0.5000).

***

*ii*
Material: Ba2TcH
Method: DFT, PBE-GGA
State: optimized geometry

For the density of states at the Fermi level, the calculation gives 8.5 states/eV per cell.

The space group is I-42d (No. 122) and the conventional cell measures 7.5194, 7.5194 and 8.5263 Å, with angles of 90.00, 90.00 and 90.00 degrees. The inequivalent atoms are Ba at (0.1875, 0.7500, 0.1250), Tc at (0.0000, 0.0000, 0.5000) and H at (0.0000, 0.0000, 0.0000).

***

The calculated energies rank the structures as follows, beginning with the most stable: *ii*, *i*.

***

*i*
Material: BaTeH3
Method: DFT, PBE-GGA
State: optimized geometry

For the density of states at the Fermi level, the calculation gives 3.9 states/eV per cell.

The space group is P2_1/m (No. 11) and the conventional cell measures 4.5134, 5.9198 and 7.4707 Å, with angles of 90.00, 96.51 and 90.00 degrees. The inequivalent atoms are Ba at (0.2201, 0.2500, 0.3437), Te at (0.4894, 0.7500, 0.0861), H at (0.2813, 0.0048, 0.6373) and H at (0.2900, 0.7500, 0.8725).

***

*ii*
Material: BaTeH3
Method: DFT, PBE-GGA
State: optimized geometry

For the density of states at the Fermi level, the calculation gives 0.0 states/eV per cell.

The space group is P1 (No. 1) and the conventional cell measures 4.8963, 5.4204 and 8.9862 Å, with angles of 83.95, 74.44 and 64.32 degrees. The inequivalent atoms are Ba at (0.0000, 0.0000, 0.0000), Ba at (0.4267, 0.6988, 0.4764), Te at (0.2048, 0.3801, 0.2256), Te at (0.6118, 0.0966, 0.7048), H at (0.0091, 0.4294, 0.5804), H at (0.0239, 0.4614, 0.8585), H at (0.5083, 0.8661, 0.1226), H at (0.5897, 0.7105, 0.1044), H at (0.8455, 0.5433, 0.8841) and H at (0.9183, 0.5737, 0.6176).

***

*iii*
Material: BaTeH3
Method: DFT, PBE-GGA
State: optimized geometry

For the density of states at the Fermi level, the calculation gives 0.0 states/eV per cell.

The space group is C2 (No. 5) and the conventional cell measures 5.1342, 8.5182 and 9.0913 Å, with angles of 90.00, 94.68 and 90.00 degrees. The inequivalent atoms are Ba at (0.0000, 0.0000, 0.0000), Ba at (0.0000, 0.0017, 0.5000), Te at (0.0297, 0.6657, 0.2410), H at (0.0064, 0.3385, 0.0425), H at (0.0348, 0.3358, 0.3952) and H at (0.1496, 0.2896, 0.3663).

***

*iv*
Material: BaTeH3
Method: DFT, PBE-GGA
State: optimized geometry

For the density of states at the Fermi level, the calculation gives 0.0 states/eV per cell.

The space group is Cm (No. 8) and the conventional cell measures 8.7135, 4.9658 and 9.6645 Å, with angles of 90.00, 110.26 and 90.00 degrees. The inequivalent atoms are Ba at (0.0000, 0.0000, 0.0000), Ba at (0.1566, 0.0000, 0.5121), Te at (0.0833, 0.5000, 0.7529), Te at (0.4008, 0.0000, 0.2763), H at (0.1305, 0.5000, 0.1382), H at (0.1520, 0.5000, 0.0668), H at (0.3086, 0.5000, 0.4675), H at (0.3359, 0.0000, 0.9013), H at (0.3405, 0.5000, 0.5525) and H at (0.3429, 0.0000, 0.9838).

***

The calculated energies rank the structures as follows, beginning with the most stable: *iv*, *iii*, *ii*, *i*.

***

*i*
Material: BaTeH3
Method: DFT, PBE-GGA
State: optimized geometry

For the density of states at the Fermi level, the calculation gives 0.0 states/eV per cell.

The space group is R3m (No. 160, hexagonal axes) and the conventional cell measures 4.8667, 4.8667 and 28.7506 Å, with angles of 90.00, 90.00 and 120.00 degrees. The inequivalent atoms are Ba at (0.0000, 0.0000, 0.0000), Ba at (0.0000, 0.0000, 0.1810), Te at (0.0000, 0.0000, 0.4306), Te at (0.0000, 0.0000, 0.5872), H at (0.0000, 0.0000, 0.3420), H at (0.0000, 0.0000, 0.4930), H at (0.0000, 0.0000, 0.6868), H at (0.0000, 0.0000, 0.7135), H at (0.0000, 0.0000, 0.8281) and H at (0.0000, 0.0000, 0.8550).

***

*ii*
Material: BaTeH3
Method: DFT, PBE-GGA
State: optimized geometry

For the density of states at the Fermi level, the calculation gives 0.0 states/eV per cell.

The space group is P1 (No. 1) and the conventional cell measures 4.9175, 5.2730 and 9.0477 Å, with angles of 79.99, 89.95 and 62.26 degrees. The inequivalent atoms are Ba at (0.0000, 0.0000, 0.0000), Ba at (0.2615, 0.4800, 0.5259), Te at (0.5441, 0.9155, 0.3090), Te at (0.6417, 0.7186, 0.7685), H at (0.0688, 0.4014, 0.1499), H at (0.3454, 0.3081, 0.9133), H at (0.3888, 0.2222, 0.9953), H at (0.5272, 0.4063, 0.1483), H at (0.5474, 0.5041, 0.0796) and H at (0.9486, 0.5018, 0.0825).

***

The calculated energies rank the structures as follows, beginning with the most stable: *ii*, *i*.

***

*i*
Material: BaTeH3
Method: DFT, PBE-GGA
State: optimized geometry

For the density of states at the Fermi level, the calculation gives 2.1 states/eV per cell.

The space group is Pm-3m (No. 221) and the conventional cell measures 4.4403, 4.4403 and 4.4403 Å, with angles of 90.00, 90.00 and 90.00 degrees. The inequivalent atoms are Ba at (0.0000, 0.0000, 0.0000), Te at (0.5000, 0.5000, 0.5000) and H at (0.0000, 0.5000, 0.5000).

***

*ii*
Material: BaTeH3
Method: DFT, PBE-GGA
State: optimized geometry

For the density of states at the Fermi level, the calculation gives 0.0 states/eV per cell.

The space group is Cm (No. 8) and the conventional cell measures 11.2650, 4.7451 and 7.9891 Å, with angles of 90.00, 91.25 and 90.00 degrees. The inequivalent atoms are Ba at (0.0000, 0.0000, 0.0000), Ba at (0.2165, 0.0000, 0.5022), Te at (0.0076, 0.5000, 0.3229), Te at (0.2044, 0.5000, 0.8291), H at (0.2589, 0.5000, 0.3011), H at (0.3256, 0.5000, 0.3254), H at (0.3862, 0.0000, 0.8182), H at (0.4522, 0.0000, 0.7934) and H at (0.4857, 0.4195, 0.6311).

***

The calculated energies rank the structures as follows, beginning with the most stable: *ii*, *i*.

***

*i*
Material: BaTeH3
Method: DFT, PBE-GGA
State: optimized geometry

For the density of states at the Fermi level, the calculation gives 0.0 states/eV per cell.

The space group is Cm (No. 8) and the conventional cell measures 9.7966, 8.9689 and 4.9382 Å, with angles of 90.00, 113.68 and 90.00 degrees. The inequivalent atoms are Ba at (0.0000, 0.2491, 0.0000), Te at (0.3060, 0.0000, 0.2644), Te at (0.3542, 0.5000, 0.3927), H at (0.0692, 0.5000, 0.7075), H at (0.1418, 0.5000, 0.8529), H at (0.1709, 0.2001, 0.6510) and H at (0.1790, 0.2848, 0.6357).

***

*ii*
Material: BaTeH3
Method: DFT, PBE-GGA
State: optimized geometry

For the density of states at the Fermi level, the calculation gives 0.0 states/eV per cell.

The space group is P1 (No. 1) and the conventional cell measures 4.7491, 4.7511 and 11.4993 Å, with angles of 78.39, 85.57 and 61.69 degrees. The inequivalent atoms are Ba at (0.0000, 0.0000, 0.0000), Ba at (0.3556, 0.1335, 0.3718), Te at (0.3320, 0.4597, 0.7951), Te at (0.6739, 0.5729, 0.1763), H at (0.0113, 0.7879, 0.4102), H at (0.5493, 0.6209, 0.8385), H at (0.6067, 0.8999, 0.6206), H at (0.6336, 0.4194, 0.5402), H at (0.7032, 0.4255, 0.4783) and H at (0.7483, 0.8503, 0.5790).

***

The calculated energies rank the structures as follows, beginning with the most stable: *i*, *ii*.

***

*i*
Material: BaTeH3
Method: DFT, PBE-GGA
State: optimized geometry

For the density of states at the Fermi level, the calculation gives 3.2 states/eV per cell.

The space group is Pm-3m (No. 221) and the conventional cell measures 4.6467, 4.6467 and 4.6467 Å, with angles of 90.00, 90.00 and 90.00 degrees. The inequivalent atoms are Ba at (0.0000, 0.0000, 0.0000), Te at (0.5000, 0.5000, 0.5000) and H at (0.0000, 0.0000, 0.5000).

***

*ii*
Material: BaTeH3
Method: DFT, PBE-GGA
State: optimized geometry

For the density of states at the Fermi level, the calculation gives 0.0 states/eV per cell.

The space group is C2/m (No. 12) and the conventional cell measures 9.1128, 4.8427 and 8.7068 Å, with angles of 90.00, 94.02 and 90.00 degrees. The inequivalent atoms are Ba at (0.1816, 0.0000, 0.2512), Te at (0.0000, 0.5000, 0.0000), Te at (0.0000, 0.5000, 0.5000), H at (0.1342, 0.0000, 0.8186), H at (0.1451, 0.0000, 0.7315) and H at (0.1997, 0.5000, 0.4206).

***

The calculated energies rank the structures as follows, beginning with the most stable: *ii*, *i*.

***

*i*
Material: BaTe3H
Method: DFT, PBE-GGA
State: optimized geometry

For the density of states at the Fermi level, the calculation gives 4.4 states/eV per cell.

The space group is Pm-3m (No. 221) and the conventional cell measures 6.8522, 6.8522 and 6.8522 Å, with angles of 90.00, 90.00 and 90.00 degrees. The inequivalent atoms are Ba at (0.0000, 0.0000, 0.0000), Te at (0.0000, 0.0000, 0.5000) and H at (0.5000, 0.5000, 0.5000).

***

*ii*
Material: BaTe3H
Method: DFT, PBE-GGA
State: optimized geometry

For the density of states at the Fermi level, the calculation gives 3.8 states/eV per cell.

The space group is Pm-3m (No. 221) and the conventional cell measures 5.1185, 5.1185 and 5.1185 Å, with angles of 90.00, 90.00 and 90.00 degrees. The inequivalent atoms are Ba at (0.0000, 0.0000, 0.0000), Te at (0.0000, 0.5000, 0.5000) and H at (0.5000, 0.5000, 0.5000).

***

The calculated energies rank the structures as follows, beginning with the most stable: *ii*, *i*.

***

*i*
Material: BaTi2H
Method: DFT, PBE-GGA
State: optimized geometry

For the density of states at the Fermi level, the calculation gives 56.9 states/eV per cell.

The space group is Fd-3m (No. 227, origin choice 2) and the conventional cell measures 8.8755, 8.8755 and 8.8755 Å, with angles of 90.00, 90.00 and 90.00 degrees. The inequivalent atoms are Ba at (0.1250, 0.1250, 0.1250), Ti at (0.0000, 0.0000, 0.5000) and H at (0.1250, 0.1250, 0.6250).

***

*ii*
Material: BaTi2H
Method: DFT, PBE-GGA
State: optimized geometry

For the density of states at the Fermi level, the calculation gives 24.9 states/eV per cell.

The space group is Fm-3m (No. 225) and the conventional cell measures 6.7604, 6.7604 and 6.7604 Å, with angles of 90.00, 90.00 and 90.00 degrees. The inequivalent atoms are Ba at (0.0000, 0.0000, 0.0000), Ti at (0.2500, 0.2500, 0.2500) and H at (0.0000, 0.0000, 0.5000).

***

The calculated energies rank the structures as follows, beginning with the most stable: *i*, *ii*.